## 1
Computed, not measured: an optimized crystal structure of HoHfInC at the GGA-PBE level of DFT.

Unit cell a=3.4249 b=3.4249 c=15.6021 alpha=90.00 beta=90.00 gamma=120.00
Atoms (fractional coordinates):
Hf 0.6667 0.3333 0.6607
C 0.0000 0.0000 0.7314
Hf 0.6667 0.3333 0.3393
Ho 0.3333 0.6667 0.1733
C 0.0000 0.0000 0.2686
In 0.3333 0.6667 0.5000
In 0.6667 0.3333 0.0000
Ho 0.3333 0.6667 0.8267



## 2
Computed, not measured: an optimized crystal structure of HoHfInC at the GGA-PBE level of DFT.

Unit cell a=3.4380 b=3.4380 c=15.6038 alpha=90.00 beta=90.00 gamma=120.00
Atoms (fractional coordinates):
In 0.6667 0.3333 0.7625
Hf 0.6667 0.3333 0.0764
In 0.3333 0.6667 0.2375
Hf 0.3333 0.6667 0.9236
Ho 0.6667 0.3333 0.4124
C 0.0000 0.0000 0.5000
Ho 0.3333 0.6667 0.5876
C 0.0000 0.0000 0.0000



Result of the stability comparison: 1 is the most stable of them.



## 1
Computed, not measured: an optimized crystal structure of HoHfSnC at the GGA-PBE level of DFT.

Unit cell a=3.4435 b=3.4435 c=15.1650 alpha=90.00 beta=90.00 gamma=120.00
Atoms (fractional coordinates):
Hf 0.3333 0.6667 0.0835
Ho 0.6667 0.3333 0.9140
Sn 0.6667 0.3333 0.2424
Ho 0.3333 0.6667 0.4140
C 0.0000 0.0000 0.5101
Hf 0.6667 0.3333 0.5835
C 0.0000 0.0000 0.0101
Sn 0.3333 0.6667 0.7424



## 2
Computed, not measured: an optimized crystal structure of HoHfSnC at the GGA-PBE level of DFT.

Unit cell a=3.4461 b=3.4461 c=15.1664 alpha=90.00 beta=90.00 gamma=120.00
Atoms (fractional coordinates):
Hf 0.3333 0.6667 0.1587
C 0.0000 0.0000 0.2319
Sn 0.6667 0.3333 0.0000
Sn 0.3333 0.6667 0.5000
Ho 0.6667 0.3333 0.6719
Ho 0.6667 0.3333 0.3281
C 0.0000 0.0000 0.7681
Hf 0.3333 0.6667 0.8413



Result of the stability comparison: 1 is the most stable of them.



## 1
Computed, not measured: an optimized crystal structure of HoHfTeC at the GGA-PBE level of DFT.

Unit cell a=3.6177 b=3.6177 c=13.7414 alpha=90.00 beta=90.00 gamma=120.00
Atoms (fractional coordinates):
Hf 0.3333 0.6667 0.1547
Te 0.3333 0.6667 0.5000
Hf 0.3333 0.6667 0.8453
C 0.0000 0.0000 0.7691
Ho 0.6667 0.3333 0.6648
Ho 0.6667 0.3333 0.3352
Te 0.6667 0.3333 0.0000
C 0.0000 0.0000 0.2309



## 2
Computed, not measured: an optimized crystal structure of HoHfTeC at the GGA-PBE level of DFT.

Unit cell a=3.6234 b=3.6234 c=13.7018 alpha=90.00 beta=90.00 gamma=120.00
Atoms (fractional coordinates):
Ho 0.3333 0.6667 0.4084
Te 0.3333 0.6667 0.7407
Ho 0.6667 0.3333 0.9084
C 0.0000 0.0000 0.0113
C 0.0000 0.0000 0.5113
Hf 0.6667 0.3333 0.5895
Hf 0.3333 0.6667 0.0895
Te 0.6667 0.3333 0.2407



Result of the stability comparison: 2 is the most stable of them.